1.
Compound: RbSrVS4
Source: the Alexandria database
Functional: GGA-PBE
Structure: optimized geometry

Values from the calculation:
uncorrected formation energy: -1363 meV per atom
SG: No. 11
spin magnetization: 0.00 μB/cell

Cell: 6.8367 6.7915 9.1713 Å, 90.00 107.26 90.00°
Fractional coordinates of all 14 atoms:
Rb 0.2195 0.2500 0.4317
Rb 0.7805 0.7500 0.5683
Sr 0.2665 0.2500 0.9537
Sr 0.7335 0.7500 0.0463
V 0.2941 0.7500 0.1827
V 0.7059 0.2500 0.8173
S 0.0978 0.7500 0.3286
S 0.1179 0.7500 0.9453
S 0.4972 0.0013 0.2268
S 0.4972 0.4987 0.2268
S 0.5028 0.5013 0.7732
S 0.5028 0.9987 0.7732
S 0.8821 0.2500 0.0547
S 0.9022 0.2500 0.6714

2.
Compound: HfMgVRe2
Source: the Alexandria database
Functional: GGA-PBE
Structure: optimized geometry

Values from the calculation:
SG: No. 123
calculated formation energy: 1.078 eV per atom
spin magnetization: 0.00 μB/cell

Cell: 4.5641 4.5641 4.7597 Å, 90.00 90.00 90.00°
Fractional coordinates of all 5 atoms:
Hf 0.0000 0.0000 0.0000
Mg 0.5000 0.5000 0.0000
V 0.0000 0.0000 0.5000
Re 0.0000 0.5000 0.5000
Re 0.5000 0.0000 0.5000

3.
Compound: Mn2ReOs
Source: the Alexandria database
Functional: GGA-PBE
Structure: optimized geometry

Values from the calculation:
SG: No. 160
calculated formation energy: 0.167 eV per atom
spin magnetization: 3.97 μB/cell

Cell: 2.6730 2.6730 25.4882 Å, 90.00 90.00 120.00°
Fractional coordinates of all 12 atoms:
Mn 0.0000 0.0000 0.0000
Mn 0.0000 0.0000 0.2576
Mn 0.3333 0.6667 0.6667
Mn 0.3333 0.6667 0.9243
Mn 0.6667 0.3333 0.3333
Mn 0.6667 0.3333 0.5909
Re 0.0000 0.0000 0.7502
Re 0.3333 0.6667 0.4168
Re 0.6667 0.3333 0.0835
Os 0.0000 0.0000 0.5083
Os 0.3333 0.6667 0.1750
Os 0.6667 0.3333 0.8416

4.
Compound: ZrBeCd
Source: the Alexandria database
Functional: GGA-PBE
Structure: optimized geometry

Values from the calculation:
SG: No. 63
calculated formation energy: -0.170 eV per atom
spin magnetization: 0.00 μB/cell

Cell: 3.7769 15.7836 3.5493 Å, 90.00 90.00 90.00°
Fractional coordinates of all 12 atoms:
Zr 0.0000 0.0830 0.2500
Zr 0.0000 0.9170 0.7500
Zr 0.5000 0.4170 0.7500
Zr 0.5000 0.5830 0.2500
Be 0.0000 0.4629 0.2500
Be 0.0000 0.5371 0.7500
Be 0.5000 0.0371 0.7500
Be 0.5000 0.9629 0.2500
Cd 0.0000 0.2992 0.2500
Cd 0.0000 0.7008 0.7500
Cd 0.5000 0.2008 0.7500
Cd 0.5000 0.7992 0.2500

Question: Which of these has the highest spin magnetization?
Answer: Mn2ReOs